No. 1
LiNi3Pt | Alexandria via LeMat-Bulk | PBEsol | optimized geometry; E_form = 1008 meV/atom; crystal system = cubic; spin magnetization = 3.25 μB/cell; ρ = 6.57 g cm⁻³; symmetry = Pm-3m, No. 221
1.0
-3.9602 2.2840 0.0952
-2.0550 -3.6405 1.8527
1.0012 1.5617 4.1794
Ni Pt Li
3 1 1
direct
0.5000 0.0000 0.0000
0.0000 0.0000 0.5000
0.0000 0.5000 0.0000
0.0000 0.0000 0.0000
0.5000 0.5000 0.5000

---

No. 2
LiNiPt2 | Alexandria via LeMat-Bulk | PBEsol | optimized geometry; E_form = -226 meV/atom; crystal system = monoclinic; spin magnetization = 0.00 μB/cell; ρ = 14.30 g cm⁻³; symmetry = C2/m, No. 12
1.0
2.6392 -0.0034 0.0000
-0.1876 4.7178 0.0000
-1.2258 -2.3572 4.2512
Pt Li Ni
2 1 1
direct
0.0000 0.0000 0.5000
0.5000 0.5000 0.5000
0.5000 0.0000 0.0000
0.0000 0.5000 0.0000

---

No. 3
Li2NiPt | Alexandria via LeMat-Bulk | PBEsol | optimized geometry; E_form = -210 meV/atom; crystal system = orthorhombic; spin magnetization = 0.00 μB/cell; ρ = 8.80 g cm⁻³; symmetry = Cmmm, No. 65
1.0
-1.3764 0.2327 2.1976
2.1869 -1.4090 0.1001
4.3516 6.8962 1.9951
Li Pt Ni
2 1 1
direct
0.0000 0.0000 0.2580
0.0000 0.0000 0.7420
0.5000 0.5000 0.0000
0.5000 0.5000 0.5000

---

Number 1: calculated total energy -22.36 eV for the cell shown. Number 2: calculated total energy -22.95 eV for the cell shown. Number 3: calculated total energy -17.89 eV for the cell shown.